# PBE Nd2TlCl8, relaxed
# **Excess energy over the best structure of this formula in the dataset**: 0 meV/atom
# **Raw formation energy**: -1940 kJ/mol of formula units
# **Total DFT energy (no corrections)**: -4.2528 eV/atom
data_Nd2TlCl8
_symmetry_space_group_name_H-M 'C 1 2/m 1'
_symmetry_Int_Tables_number 12
_symmetry_space_group_name_Hall '-C 2y'
_cell_length_a 8.684
_cell_length_b 13.800
_cell_length_c 5.345
_cell_angle_alpha 90.00
_cell_angle_beta 90.13
_cell_angle_gamma 90.00
loop_
_atom_site_label
_atom_site_type_symbol
_atom_site_fract_x
_atom_site_fract_y
_atom_site_fract_z
Nd1 Nd 0.000 0.197 0.000
Tl1 Tl 0.000 0.500 0.500
Cl1 Cl 0.000 0.244 0.500
Cl2 Cl 0.001 0.000 0.254
Cl3 Cl 0.192 0.366 0.002

---

# PBE Zr3TlTe6, relaxed
# **Raw formation energy**: -732 kJ/mol of formula units
# **Total DFT energy (no corrections)**: -5.4448 eV/atom
data_Zr3TlTe6
_symmetry_space_group_name_H-M 'P 1 21/m 1'
_symmetry_Int_Tables_number 11
_symmetry_space_group_name_Hall '-P 2yb'
_cell_length_a 12.739
_cell_length_b 3.991
_cell_length_c 12.929
_cell_angle_alpha 90.00
_cell_angle_beta 107.19
_cell_angle_gamma 90.00
loop_
_atom_site_label
_atom_site_type_symbol
_atom_site_fract_x
_atom_site_fract_y
_atom_site_fract_z
Zr1 Zr 0.020 0.250 0.139
Zr2 Zr 0.203 0.250 0.773
Zr3 Zr 0.353 0.750 0.460
Tl1 Tl 0.396 0.750 0.119
Te1 Te 0.043 0.750 0.663
Te2 Te 0.145 0.250 0.976
Te3 Te 0.178 0.750 0.252
Te4 Te 0.253 0.250 0.560
Te5 Te 0.372 0.750 0.855
Te6 Te 0.454 0.250 0.353

---

These records have density values of 4.0; 6.6 g/cm³, in the order they appear.